[1]
La14PrSm | Alexandria | GGA-PBE | relaxed; final energy = -4.83 eV per atom; ΔH_f (0 K) = 0.0766 eV per atom; space-group type = Amm2, No. 38; density of states at the Fermi level = 28.1 states/eV/cell
1.0
6.8549 2.1139 0.0000
0.2323 7.1697 0.0000
0.0000 0.0000 11.9790
La Sm Pr
14 1 1
direct
0.1055 0.3252 0.2525
0.1849 0.8151 0.2500
0.1055 0.3252 0.7475
0.8310 0.6154 0.0000
0.6748 0.8945 0.7475
0.6151 0.3849 0.2442
0.1849 0.8151 0.7500
0.8773 0.1227 0.5000
0.3846 0.1690 0.0000
0.6748 0.8945 0.2525
0.3898 0.1836 0.5000
0.8164 0.6102 0.5000
0.3111 0.6889 0.5000
0.6151 0.3849 0.7558
0.9001 0.0999 0.0000
0.3291 0.6709 0.0000


[2]
GdDySiHg | Alexandria | GGA-PBE | relaxed; final energy = -6.57 eV per atom; space-group type = F-43m, No. 216; formation energy from raw total energies = -0.472 eV per atom; density of states at the Fermi level = 3.1 states/eV/cell
1.0
5.1395 0.0000 0.0000
2.5698 4.4510 0.0000
2.5698 1.4837 4.1964
Hg Dy Gd Si
1 1 1 1
direct
0.2500 0.2500 0.2500
0.0000 0.0000 0.0000
0.5000 0.5000 0.5000
0.7500 0.7500 0.7500


[3]
MnIn4Pb | Alexandria | GGA-PBE | relaxed; final energy = -3.61 eV per atom; ΔH_f (0 K) = 0.3654 eV per atom; space-group type = F-43m, No. 216; density of states at the Fermi level = 2.9 states/eV/cell
1.0
0.0000 4.3211 4.3211
4.3211 0.0000 4.3211
4.3211 4.3211 0.0000
In Pb Mn
4 1 1
direct
0.3751 0.3751 0.8746
0.3751 0.8746 0.3751
0.3751 0.3751 0.3751
0.8746 0.3751 0.3751
0.0000 0.0000 0.0000
0.7500 0.7500 0.7500


[4]
TcSbBr2 | Alexandria | GGA-PBE | relaxed; final energy = -4.45 eV per atom; space-group type = Cm, No. 8; formation energy from raw total energies = 0.009 eV per atom; density of states at the Fermi level = 2.2 states/eV/cell
1.0
-1.0378 3.6030 -3.4065
-2.8645 0.7967 -4.1015
-6.4268 3.6581 2.1215
Br Sb Tc
2 1 1
direct
0.7466 0.7466 0.6515
0.8998 0.8998 0.0986
0.5682 0.5682 0.3749
0.2854 0.2854 0.3749


[5]
SiIrN | Alexandria | GGA-PBE | relaxed; final energy = -8.01 eV per atom; space-group type = Pmn2_1, No. 31; formation energy from raw total energies = -0.474 eV per atom; density of states at the Fermi level = 0.7 states/eV/cell
1.0
2.7667 0.0000 0.0000
0.0000 5.9713 0.0000
0.0000 0.0000 4.0443
Si N Ir
2 2 2
direct
0.5000 0.1595 0.4400
0.0000 0.8405 0.9400
0.0000 0.1091 0.7179
0.5000 0.8909 0.2179
0.5000 0.6071 0.5455
0.0000 0.3929 0.0455


[6]
La4TcTe2Cl | Alexandria | GGA-PBE | relaxed; final energy = -5.90 eV per atom; space-group type = P2/m, No. 10; formation energy from raw total energies = -1.128 eV per atom; density of states at the Fermi level = 5.5 states/eV/cell
1.0
4.3416 0.0000 0.0000
0.0000 7.8517 -0.3763
0.0000 2.5602 7.2046
Te La Cl Tc
2 4 1 1
direct
0.0000 0.0000 0.0000
0.5000 0.0000 0.5000
0.5000 0.7161 0.2747
0.5000 0.2839 0.7253
0.0000 0.2805 0.2744
0.0000 0.7195 0.7256
0.5000 0.5000 0.0000
0.0000 0.5000 0.5000


[7]
ZrW2Cl | Alexandria | GGA-PBE | relaxed; final energy = -8.65 eV per atom; space-group type = P2/m, No. 10; formation energy from raw total energies = 0.427 eV per atom; density of states at the Fermi level = 2.6 states/eV/cell
1.0
-0.6117 -3.8023 3.7018
2.7060 0.6937 1.1596
-1.9439 2.9719 2.7314
W Zr Cl
2 1 1
direct
0.0000 0.5237 0.4923
0.0000 0.9763 0.0077
0.5000 0.2500 0.2500
0.5000 0.7500 0.7500


[8]
RbDyPuO6 | Alexandria | GGA-PBE | relaxed; final energy = -7.95 eV per atom; space-group type = P312, No. 149; formation energy from raw total energies = -2.436 eV per atom
1.0
-3.5018 -0.0424 -4.6974
-1.0421 -5.0221 -2.8315
-4.7648 -1.0203 3.5606
O Rb Dy Pu
6 1 1 1
direct
0.3697 0.0357 0.6824
0.5944 0.0358 0.3176
0.3697 0.5945 0.3176
0.5945 0.3697 0.6824
0.0357 0.3699 0.3176
0.0357 0.5944 0.6824
0.0000 0.0000 0.0000
0.6666 0.6667 0.5000
0.3333 0.3334 0.5000


[9]
ReCl | Alexandria | GGA-PBE | relaxed; final energy = -6.08 eV per atom; space-group type = P4_2/mnm, No. 136; formation energy from raw total energies = 1.067 eV per atom; density of states at the Fermi level = 4.5 states/eV/cell
1.0
8.0555 0.0000 0.0000
0.0000 8.0555 0.0000
0.0000 0.0000 2.8702
Cl Re
4 4
direct
0.2920 0.2920 0.5000
0.7080 0.7080 0.5000
0.2080 0.7920 0.0000
0.7920 0.2080 0.0000
0.4016 0.5984 0.5000
0.5984 0.4016 0.5000
0.9016 0.9016 0.0000
0.0984 0.0984 0.0000


[10]
AsP2 | Alexandria | GGA-PBE | relaxed; final energy = -4.91 eV per atom; ΔH_f (0 K) = 0.2512 eV per atom; space-group type = P6_3/mmc, No. 194; density of states at the Fermi level = 3.9 states/eV/cell
1.0
1.6625 0.8652 -2.9504
-2.9942 1.5906 0.8497
4.8782 6.6699 4.7048
P As
4 2
direct
0.6667 0.3333 0.0694
0.6667 0.3333 0.4306
0.3333 0.6667 0.9306
0.3333 0.6667 0.5694
0.0000 0.0000 0.2500
0.0000 0.0000 0.7500


[11]
TcNiTe2 | Alexandria | GGA-PBE | relaxed; final energy = -5.30 eV per atom; space-group type = C2/m, No. 12; formation energy from raw total energies = 0.306 eV per atom; density of states at the Fermi level = 4.6 states/eV/cell
1.0
4.3124 -0.0044 -0.0029
2.9842 3.1130 -0.0029
1.0348 0.4409 5.6869
Te Ni Tc
2 1 1
direct
0.9863 0.9863 0.0025
0.5137 0.5137 0.4975
0.7500 0.7500 0.7500
0.2500 0.2500 0.2500


[12]
Sc3BiH | Alexandria | GGA-PBE | relaxed; final energy = -5.66 eV per atom; space-group type = P2_1/m, No. 11; density of states at the Fermi level = 9.8 states/eV/cell
1.0
-1.3713 -3.8286 -1.3511
6.6682 -1.9595 -1.2155
-2.0825 -1.5790 6.5879
H Sc Bi
2 6 2
direct
0.2500 0.6398 0.4463
0.7500 0.3602 0.5537
0.7500 0.0608 0.3578
0.2500 0.4228 0.6091
0.7500 0.5772 0.3909
0.7500 0.3106 0.8661
0.2500 0.9392 0.6422
0.2500 0.6894 0.1339
0.7500 0.7660 0.8668
0.2500 0.2340 0.1332


Q: Among the records above, which one has the lowest final energy?
A: ZrW2Cl


Q: Which of these has the highest final energy?
A: MnIn4Pb